DFT (SCAN) results for LiTe2Pt at its PBEsol-relaxed geometry.

Calculated values
Total energy in eV for the cell shown: -149.35
Space-group type: Immm

a = 3.8156 Å, b = 4.3698 Å, c = 6.4364 Å
α = 109.84°, β = 107.24°, γ = 90.00°
Last column: nearest neighbours and their distance in Å.
Element x y z (fractional)
Li1 0.5000 0.0000 0.0000  4 Te 2.83, 4 Pt 2.90
Te1 0.3438 0.3438 0.6877  2 Pt 2.62, 2 Li 2.83
Te2 0.6562 0.6562 0.3123  2 Pt 2.62, 2 Li 2.83
Pt1 0.0000 0.5000 0.0000  4 Te 2.62, 4 Li 2.90